Version P
Density functional theory data (PBE) for a geometry-optimized NaNbW2 structure.

Geometry as CIF:
```
data_NaNbW2
_chemical_formula_sum 'Na2 Nb2 W4'
_cell_length_a 5.904
_cell_length_b 5.904
_cell_length_c 5.904
_cell_angle_alpha 102.36
_cell_angle_beta 102.36
_cell_angle_gamma 124.88
_space_group_name_H-M_alt 'P 1'
_space_group_IT_number 1
loop_
_space_group_symop_operation_xyz
'x,y,z'
loop_
_atom_site_label
_atom_site_fract_x
_atom_site_fract_y
_atom_site_fract_z
Na1 0.000 0.000 0.000
Na2 0.750 0.250 0.500
Nb1 0.250 0.750 0.500
Nb2 0.500 0.500 0.000
W1 0.131 0.625 0.006
W2 0.375 0.381 0.506
W3 0.619 0.125 0.994
W4 0.875 0.869 0.494
```

Output
For the total moment, the calculation gives 0.00 μB per formula unit.

Version Q
Density functional theory data (PBE) for a geometry-optimized NaNbW2 structure.

Geometry as CIF:
```
data_NaNbW2
_chemical_formula_sum 'Na1 Nb1 W2'
_cell_length_a 4.620
_cell_length_b 4.620
_cell_length_c 4.620
_cell_angle_alpha 60.00
_cell_angle_beta 60.00
_cell_angle_gamma 60.00
_space_group_name_H-M_alt 'P 1'
_space_group_IT_number 1
loop_
_space_group_symop_operation_xyz
'x,y,z'
loop_
_atom_site_label
_atom_site_fract_x
_atom_site_fract_y
_atom_site_fract_z
Na1 0.000 0.000 0.000
Nb1 0.500 0.500 0.500
W1 0.250 0.250 0.250
W2 0.750 0.750 0.750
```

Output
For the total moment, the calculation gives 0.00 μB per formula unit.

Which one sits at the bottom of the stability order? version P does.

Version P
Density functional theory data (PBE) for a geometry-optimized NaNb2W structure.

Geometry as CIF:
```
data_NaNb2W
_chemical_formula_sum 'Na2 Nb4 W2'
_cell_length_a 10.103
_cell_length_b 10.103
_cell_length_c 10.103
_cell_angle_alpha 157.06
_cell_angle_beta 157.06
_cell_angle_gamma 32.67
_space_group_name_H-M_alt 'P 1'
_space_group_IT_number 1
loop_
_space_group_symop_operation_xyz
'x,y,z'
loop_
_atom_site_label
_atom_site_fract_x
_atom_site_fract_y
_atom_site_fract_z
Na1 0.000 0.000 0.000
Na2 0.750 0.250 0.500
Nb1 0.146 0.625 0.021
Nb2 0.375 0.396 0.521
Nb3 0.604 0.125 0.979
Nb4 0.875 0.854 0.479
W1 0.250 0.750 0.500
W2 0.500 0.500 0.000
```

Output
For the total moment, the calculation gives 0.44 μB per formula unit.

Version Q
Density functional theory data (PBE) for a geometry-optimized NaNb2W structure.

Geometry as CIF:
```
data_NaNb2W
_chemical_formula_sum 'Na1 Nb2 W1'
_cell_length_a 4.674
_cell_length_b 4.674
_cell_length_c 4.674
_cell_angle_alpha 60.00
_cell_angle_beta 60.00
_cell_angle_gamma 60.00
_space_group_name_H-M_alt 'P 1'
_space_group_IT_number 1
loop_
_space_group_symop_operation_xyz
'x,y,z'
loop_
_atom_site_label
_atom_site_fract_x
_atom_site_fract_y
_atom_site_fract_z
Na1 0.000 0.000 0.000
Nb1 0.250 0.250 0.250
Nb2 0.750 0.750 0.750
W1 0.500 0.500 0.500
```

Output
For the total moment, the calculation gives 0.00 μB per formula unit.

Which one sits at the bottom of the stability order? version P does.

Version P
Density functional theory data (PBE) for a geometry-optimized NaY2Nb structure.

Geometry as CIF:
```
data_NaY2Nb
_chemical_formula_sum 'Na2 Y4 Nb2'
_cell_length_a 10.978
_cell_length_b 10.978
_cell_length_c 10.978
_cell_angle_alpha 155.70
_cell_angle_beta 155.70
_cell_angle_gamma 34.63
_space_group_name_H-M_alt 'P 1'
_space_group_IT_number 1
loop_
_space_group_symop_operation_xyz
'x,y,z'
loop_
_atom_site_label
_atom_site_fract_x
_atom_site_fract_y
_atom_site_fract_z
Na1 0.000 0.000 0.000
Na2 0.750 0.250 0.500
Y1 0.140 0.625 0.015
Y2 0.375 0.390 0.515
Y3 0.610 0.125 0.985
Y4 0.875 0.860 0.485
Nb1 0.250 0.750 0.500
Nb2 0.500 0.500 0.000
```

Output
For the total moment, the calculation gives 0.24 μB per formula unit.

Version Q
Density functional theory data (PBE) for a geometry-optimized NaY2Nb structure.

Geometry as CIF:
```
data_NaY2Nb
_chemical_formula_sum 'Na1 Y2 Nb1'
_cell_length_a 5.338
_cell_length_b 5.338
_cell_length_c 5.338
_cell_angle_alpha 60.00
_cell_angle_beta 60.00
_cell_angle_gamma 60.00
_space_group_name_H-M_alt 'P 1'
_space_group_IT_number 1
loop_
_space_group_symop_operation_xyz
'x,y,z'
loop_
_atom_site_label
_atom_site_fract_x
_atom_site_fract_y
_atom_site_fract_z
Na1 0.000 0.000 0.000
Y1 0.250 0.250 0.250
Y2 0.750 0.750 0.750
Nb1 0.500 0.500 0.500
```

Output
For the total moment, the calculation gives 2.39 μB per formula unit.

Which one sits at the bottom of the stability order? version P does.

Version P
Density functional theory data (PBE) for a geometry-optimized Na2YNb structure.

Geometry as CIF:
```
data_Na2YNb
_chemical_formula_sum 'Na4 Y2 Nb2'
_cell_length_a 6.763
_cell_length_b 6.763
_cell_length_c 6.763
_cell_angle_alpha 100.06
_cell_angle_beta 100.06
_cell_angle_gamma 130.58
_space_group_name_H-M_alt 'P 1'
_space_group_IT_number 1
loop_
_space_group_symop_operation_xyz
'x,y,z'
loop_
_atom_site_label
_atom_site_fract_x
_atom_site_fract_y
_atom_site_fract_z
Na1 0.109 0.625 0.984
Na2 0.375 0.359 0.484
Na3 0.641 0.125 0.016
Na4 0.875 0.891 0.516
Y1 0.250 0.750 0.500
Y2 0.500 0.500 0.000
Nb1 0.000 0.000 0.000
Nb2 0.750 0.250 0.500
```

Output
For the total moment, the calculation gives 0.85 μB per formula unit.

Version Q
Density functional theory data (PBE) for a geometry-optimized Na2YNb structure.

Geometry as CIF:
```
data_Na2YNb
_chemical_formula_sum 'Na2 Y1 Nb1'
_cell_length_a 5.243
_cell_length_b 5.243
_cell_length_c 5.243
_cell_angle_alpha 60.00
_cell_angle_beta 60.00
_cell_angle_gamma 60.00
_space_group_name_H-M_alt 'P 1'
_space_group_IT_number 1
loop_
_space_group_symop_operation_xyz
'x,y,z'
loop_
_atom_site_label
_atom_site_fract_x
_atom_site_fract_y
_atom_site_fract_z
Na1 0.250 0.250 0.250
Na2 0.750 0.750 0.750
Y1 0.000 0.000 0.000
Nb1 0.500 0.500 0.500
```

Output
For the total moment, the calculation gives 0.83 μB per formula unit.

Which one sits at the bottom of the stability order? version P does.

Version P
Density functional theory data (PBE) for a geometry-optimized NaNb3Zn structure.

Geometry as CIF:
```
data_NaNb3Zn
_chemical_formula_sum 'Na1 Nb3 Zn1'
_cell_length_a 4.674
_cell_length_b 4.674
_cell_length_c 4.674
_cell_angle_alpha 90.00
_cell_angle_beta 90.00
_cell_angle_gamma 90.00
_space_group_name_H-M_alt 'P 1'
_space_group_IT_number 1
loop_
_space_group_symop_operation_xyz
'x,y,z'
loop_
_atom_site_label
_atom_site_fract_x
_atom_site_fract_y
_atom_site_fract_z
Na1 0.000 0.000 0.000
Nb1 0.000 0.000 0.500
Nb2 0.000 0.500 0.000
Nb3 0.500 0.000 0.000
Zn1 0.500 0.500 0.500
```

Output
For the total moment, the calculation gives 0.00 μB per formula unit.

Version Q
Density functional theory data (PBE) for a geometry-optimized NaNb3Zn structure.

Geometry as CIF:
```
data_NaNb3Zn
_chemical_formula_sum 'Na1 Nb3 Zn1'
_cell_length_a 4.842
_cell_length_b 4.842
_cell_length_c 4.842
_cell_angle_alpha 90.00
_cell_angle_beta 90.00
_cell_angle_gamma 90.00
_space_group_name_H-M_alt 'P 1'
_space_group_IT_number 1
loop_
_space_group_symop_operation_xyz
'x,y,z'
loop_
_atom_site_label
_atom_site_fract_x
_atom_site_fract_y
_atom_site_fract_z
Na1 0.000 0.000 0.000
Nb1 0.000 0.500 0.500
Nb2 0.500 0.000 0.500
Nb3 0.500 0.500 0.000
Zn1 0.500 0.500 0.500
```

Output
For the total moment, the calculation gives 0.00 μB per formula unit.

Which one sits at the bottom of the stability order? version P does.

Version P
Density functional theory data (PBE) for a geometry-optimized Na3NbZn structure.

Geometry as CIF:
```
data_Na3NbZn
_chemical_formula_sum 'Na3 Nb1 Zn1'
_cell_length_a 6.073
_cell_length_b 6.073
_cell_length_c 6.073
_cell_angle_alpha 90.00
_cell_angle_beta 90.00
_cell_angle_gamma 90.00
_space_group_name_H-M_alt 'P 1'
_space_group_IT_number 1
loop_
_space_group_symop_operation_xyz
'x,y,z'
loop_
_atom_site_label
_atom_site_fract_x
_atom_site_fract_y
_atom_site_fract_z
Na1 0.000 0.000 0.500
Na2 0.000 0.500 0.000
Na3 0.500 0.000 0.000
Nb1 0.000 0.000 0.000
Zn1 0.500 0.500 0.500
```

Output
For the total moment, the calculation gives 5.72 μB per formula unit.

Version Q
Density functional theory data (PBE) for a geometry-optimized Na3NbZn structure.

Geometry as CIF:
```
data_Na3NbZn
_chemical_formula_sum 'Na3 Nb1 Zn1'
_cell_length_a 5.417
_cell_length_b 5.417
_cell_length_c 5.417
_cell_angle_alpha 90.00
_cell_angle_beta 90.00
_cell_angle_gamma 90.00
_space_group_name_H-M_alt 'P 1'
_space_group_IT_number 1
loop_
_space_group_symop_operation_xyz
'x,y,z'
loop_
_atom_site_label
_atom_site_fract_x
_atom_site_fract_y
_atom_site_fract_z
Na1 0.000 0.000 0.500
Na2 0.000 0.500 0.000
Na3 0.500 0.000 0.000
Nb1 0.500 0.500 0.500
Zn1 0.000 0.000 0.000
```

Output
For the total moment, the calculation gives 4.26 μB per formula unit.

Which one sits at the bottom of the stability order? version P does.